Entry 1:
Here is LaCoCuBi after structural relaxation from OQMD via LeMat-Bulk. Energies are from PBE.

Properties
For the total energy, the calculation gives -4.796 eV/atom.

a b c (Å): 4.9922 4.9922 4.9922
angles (deg): 60.00 60.00 60.00
With the nearest neighbours (Å) after each atom.
Sites, in units of the cell vectors:
Bi 0.2500 0.2500 0.2500  4 La 3.06, 4 Co 3.06
Co 0.0000 0.0000 0.0000  4 Cu 3.06, 4 Bi 3.06
Cu 0.7500 0.7500 0.7500  4 La 3.06, 4 Co 3.06
La 0.5000 0.5000 0.5000  4 Cu 3.06, 4 Bi 3.06


Entry 2:
Here is LaCoCuBi after structural relaxation from OQMD via LeMat-Bulk. Energies are from PBE.

Properties
For the total energy, the calculation gives -5.013 eV/atom.

a b c (Å): 4.8607 4.8607 4.8607
angles (deg): 60.00 60.00 60.00
With the nearest neighbours (Å) after each atom.
Sites, in units of the cell vectors:
Bi 0.0000 0.0000 0.0000  4 Cu 2.98, 4 Co 2.98
Co 0.2500 0.2500 0.2500  4 La 2.98, 4 Bi 2.98
Cu 0.7500 0.7500 0.7500  4 Bi 2.98, 4 La 2.98
La 0.5000 0.5000 0.5000  4 Co 2.98, 4 Cu 2.98